The following is a DFT calculation (PBE) of Ca3Zn2Au3 after structural relaxation.

Values from the calculation:
Total energy, eV/cell: -47.187
DOS at the Fermi energy, states/eV per atom: 0.519
Symmetry: Cmcm (63)
E_form, eV per atom: -0.651

Cell: 5.9069 5.9069 14.9545 Å, 90.00 90.00 134.91°
Positions (direct):
1 Ca 0.0839 0.9161 0.6056
2 Ca 0.0839 0.9161 0.8944
3 Ca 0.3678 0.6322 0.7500
4 Ca 0.6322 0.3678 0.2500
5 Ca 0.9161 0.0839 0.1056
6 Ca 0.9161 0.0839 0.3944
7 Zn 0.2151 0.7849 0.0962
8 Zn 0.2151 0.7849 0.4038
9 Zn 0.7849 0.2151 0.5962
10 Zn 0.7849 0.2151 0.9038
11 Au 0.3407 0.6593 0.2500
12 Au 0.3832 0.6168 0.5442
13 Au 0.3832 0.6168 0.9558
14 Au 0.6168 0.3832 0.0442
15 Au 0.6168 0.3832 0.4558
16 Au 0.6593 0.3407 0.7500